Material: Pm12Tc3C5
Method: DFT, GGA-PBE
State: relaxed

```
Pm12Tc3C5
1.0
13.7022 0.0000 0.0000
-4.5674 12.9185 0.0000
-4.5674 -6.4593 11.1878
C Tc Pm
20 12 48
Cartesian
-1.1418 3.2296 2.7969
1.1418 -3.2296 8.3908
3.4255 9.6889 2.7969
-2.2837 6.4593 0.0000
-1.1418 0.8074 6.9924
7.9929 -0.8074 6.9924
-3.4255 7.2667 4.1954
1.1418 4.0370 9.7893
-2.2837 -3.2296 5.5939
2.2837 3.2296 5.5939
-4.5674 3.2296 5.5939
-1.1418 10.4963 1.3985
4.5674 6.4593 0.0000
3.4255 2.4222 1.3985
5.7092 3.2296 8.3908
5.7092 5.6519 4.1954
5.7092 -4.0370 9.7893
6.8511 0.0000 0.0000
4.5674 -3.2296 5.5939
0.0000 0.0000 0.0000
10.2766 0.0000 2.7969
7.9929 8.8815 1.3985
1.1418 6.4593 2.7969
3.4255 0.0000 8.3908
-3.4255 2.4222 9.7893
-5.7092 6.4593 8.3908
-1.1418 5.6519 6.9924
1.1418 -0.8074 4.1954
5.7092 0.8074 4.1954
3.4255 7.2667 6.9924
-3.4255 -2.4222 9.7893
7.9929 4.0370 1.3985
1.6807 1.7868 10.2907
-3.8974 5.7311 5.9346
6.9998 11.4530 0.3407
-2.9537 7.4149 8.8511
8.0105 -4.5922 9.7482
0.1487 4.2575 4.4951
3.8974 -1.6838 3.5980
-1.1594 4.5922 9.7482
5.6917 -1.0494 6.4910
-2.4324 2.7919 7.0334
4.4187 2.2018 6.6927
5.7268 1.8670 1.4395
-1.1594 -3.5428 7.9305
10.2591 2.9165 3.2572
2.9537 1.6838 3.5980
5.2374 5.5036 8.8511
6.1810 7.1875 5.9346
5.1704 1.6703 10.0890
9.7377 6.5757 1.9959
9.2835 -2.7919 7.0334
7.5211 -0.9556 2.3367
-1.6137 -0.7282 5.2532
2.4324 -2.2018 6.6927
-0.6030 8.2460 0.8971
-1.1243 7.5087 4.6968
2.8867 4.6725 0.8971
-5.1704 -0.1165 9.1918
5.7268 10.0021 3.2572
2.1350 8.6611 4.4951
-5.6917 3.5428 7.9305
6.9998 3.6673 4.1543
-4.4187 4.9937 10.8471
1.1594 1.0494 6.4910
8.4647 0.7282 5.2532
1.6807 -1.6703 10.0890
2.8867 8.1296 1.0988
6.2481 6.3428 1.9959
-2.4324 -4.9937 10.8471
1.6137 4.7754 7.5898
-4.7161 9.2512 4.1543
0.6700 8.1431 7.5898
5.1704 -1.7868 10.2907
-0.6030 4.7890 1.0988
-3.4431 11.0515 1.4395
-0.6700 0.9556 2.3367
3.4080 5.4098 4.6968
-1.6807 0.1165 9.1918
8.9861 1.4655 0.3407
```

## Properties
SG: Ia-3d (230)
Calculated formation energy in eV per atom: 0.183
M_tot in μB per formula unit: 0.00
DOS(E_F) in states/eV/f.u.: 13.44